{"formula": "LiCaVF6", "functional": "GGA+U", "state": "relaxed", "dft_energy_ev_per_atom": -5.78, "volume_a3_per_cell": 234.6, "lattice": [[5.229, 0.000, 0.000], [-2.614, 4.528, 0.000], [0.000, 0.000, 9.909]], "species": ["Li", "Li", "Ca", "Ca", "V", "V", "F", "F", "F", "F", "F", "F", "F", "F", "F", "F", "F", "F"], "frac_coords": [[0.333, 0.667, 0.750], [0.667, 0.333, 0.250], [0.000, 0.000, 0.500], [0.000, 0.000, 0.000], [0.667, 0.333, 0.750], [0.333, 0.667, 0.250], [0.654, 0.013, 0.639], [0.346, 0.987, 0.361], [0.987, 0.641, 0.639], [0.654, 0.641, 0.861], [0.013, 0.359, 0.361], [0.346, 0.359, 0.139], [0.359, 0.346, 0.639], [0.987, 0.346, 0.861], [0.641, 0.654, 0.361], [0.013, 0.654, 0.139], [0.359, 0.013, 0.861], [0.641, 0.987, 0.139]]}